## Cr2TeCl (GGA-PBE)

Data for an optimized crystal structure of Cr2TeCl.

The structure in POSCAR format:
```
Cr2TeCl
1.0
3.720 0.000 0.000
0.000 3.593 0.000
-0.009 0.000 6.861
Cr Te Cl
2 1 1
Direct
0.002 0.000 0.217 Cr
0.998 0.000 0.783 Cr
0.500 0.500 0.000 Te
0.000 0.500 0.500 Cl
```

## Properties
Space-group type   P2/m, No. 10
Formation energy without anion corrections   0.014 eV/atom
E above lowest polymorph   69 meV/atom

## Ce3CuB2Rh9 (GGA-PBE)

Data for an optimized crystal structure of Ce3CuB2Rh9.

The structure in POSCAR format:
```
Ce3CuB2Rh9
1.0
5.886 0.000 0.000
-2.943 5.098 0.000
0.000 0.000 8.198
Ce Cu B Rh
3 1 2 9
Direct
0.000 0.000 0.000 Ce
0.333 0.667 0.653 Ce
0.667 0.333 0.347 Ce
0.000 0.000 0.500 Cu
0.333 0.667 0.151 B
0.667 0.333 0.849 B
0.000 0.500 0.000 Rh
0.168 0.336 0.292 Rh
0.168 0.832 0.292 Rh
0.336 0.168 0.708 Rh
0.500 0.000 0.000 Rh
0.500 0.500 0.000 Rh
0.664 0.832 0.292 Rh
0.832 0.168 0.708 Rh
0.832 0.664 0.708 Rh
```

## Properties
Space-group type   P-3m1, No. 164
ΔE_f   -806.6 kJ/mol of formula units

## SbRuPt2 (GGA-PBE)

Data for an optimized crystal structure of SbRuPt2.

The structure in POSCAR format:
```
SbRuPt2
1.0
4.701 -1.556 0.000
4.701 1.556 0.000
-0.692 0.000 4.584
Sb Ru Pt
1 1 2
Direct
0.000 0.000 0.000 Sb
0.500 0.500 0.500 Ru
0.241 0.241 0.738 Pt
0.759 0.759 0.262 Pt
```

## Properties
Space-group type   C2/m, No. 12
Formation energy without anion corrections   0.049 eV/atom

## Be3GaH (GGA-PBE)

Data for an optimized crystal structure of Be3GaH.

The structure in POSCAR format:
```
Be3GaH
1.0
4.235 0.000 0.000
0.000 4.235 0.000
0.000 0.000 4.235
Be Ga H
3 1 1
Direct
0.000 0.000 0.500 Be
0.000 0.500 0.000 Be
0.500 0.000 0.000 Be
0.000 0.000 0.000 Ga
0.500 0.500 0.500 H
```

## Properties
Space-group type   Pm-3m, No. 221
E above lowest polymorph   746 meV/atom

## DyHo4Si4 (GGA-PBE)

Data for an optimized crystal structure of DyHo4Si4.

The structure in POSCAR format:
```
DyHo4Si4
1.0
8.962 0.000 0.000
0.000 8.962 0.000
0.000 0.000 5.733
Dy Ho Si
2 8 8
Direct
0.250 0.250 0.250 Dy
0.750 0.750 0.750 Dy
0.081 0.656 0.126 Ho
0.156 0.919 0.626 Ho
0.344 0.581 0.626 Ho
0.419 0.844 0.126 Ho
0.581 0.156 0.874 Ho
0.656 0.419 0.374 Ho
0.844 0.081 0.374 Ho
0.919 0.344 0.874 Ho
0.025 0.611 0.624 Si
0.111 0.975 0.124 Si
0.389 0.525 0.124 Si
0.475 0.889 0.624 Si
0.525 0.111 0.376 Si
0.611 0.475 0.876 Si
0.889 0.025 0.876 Si
0.975 0.389 0.376 Si
```

## Properties
Space-group type   P4_2/n, No. 86
Formation energy without anion corrections   -0.478 eV/atom

## NbV2W3 (GGA-PBE)

Data for an optimized crystal structure of NbV2W3.

The structure in POSCAR format:
```
NbV2W3
1.0
8.015 -1.578 0.000
8.015 1.578 0.000
-4.847 0.000 7.405
Nb V W
2 4 6
Direct
0.082 0.082 0.463 Nb
0.918 0.918 0.537 Nb
0.250 0.250 0.879 V
0.411 0.411 0.280 V
0.589 0.589 0.720 V
0.750 0.750 0.121 V
0.086 0.086 0.957 W
0.249 0.249 0.370 W
0.416 0.416 0.794 W
0.584 0.584 0.206 W
0.751 0.751 0.630 W
0.914 0.914 0.043 W
```

## Properties
Space-group type   C2/m, No. 12
ΔE_f   -20.8 kJ/mol of formula units
E above lowest polymorph   0 meV/atom

## K3In3Au2 (GGA-PBE)

Data for an optimized crystal structure of K3In3Au2.

The structure in POSCAR format:
```
K3In3Au2
1.0
9.130 0.000 0.000
0.000 17.010 0.000
0.000 0.000 6.616
K In Au
12 12 8
Direct
0.035 0.111 0.103 K
0.035 0.389 0.103 K
0.195 0.250 0.598 K
0.305 0.750 0.098 K
0.465 0.611 0.603 K
0.465 0.889 0.603 K
0.535 0.111 0.397 K
0.535 0.389 0.397 K
0.695 0.250 0.902 K
0.805 0.750 0.402 K
0.965 0.611 0.897 K
0.965 0.889 0.897 K
0.160 0.750 0.578 In
0.177 0.036 0.612 In
0.177 0.464 0.612 In
0.323 0.536 0.112 In
0.323 0.964 0.112 In
0.340 0.250 0.078 In
0.660 0.750 0.922 In
0.677 0.036 0.888 In
0.677 0.464 0.888 In
0.823 0.536 0.388 In
0.823 0.964 0.388 In
0.840 0.250 0.422 In
0.111 0.605 0.388 Au
0.111 0.895 0.388 Au
0.389 0.105 0.888 Au
0.389 0.395 0.888 Au
0.611 0.605 0.112 Au
0.611 0.895 0.112 Au
0.889 0.105 0.612 Au
0.889 0.395 0.612 Au
```

## Properties
Space-group type   Pnma, No. 62
ΔE_f   -162.0 kJ/mol of formula units
E above lowest polymorph   30 meV/atom

## TmZn (GGA-PBE)

Data for an optimized crystal structure of TmZn.

The structure in POSCAR format:
```
TmZn
1.0
3.522 0.000 0.000
0.000 3.522 0.000
0.000 0.000 3.522
Tm Zn
1 1
Direct
0.000 0.000 0.000 Tm
0.500 0.500 0.500 Zn
```

## Properties
Space-group type   Pm-3m, No. 221
ΔE_f   -67.5 kJ/mol of formula units

## AsNCl (GGA-PBE)

Data for an optimized crystal structure of AsNCl.

The structure in POSCAR format:
```
AsNCl
1.0
8.945 -2.587 0.000
8.945 2.587 0.000
0.000 0.000 7.197
As N Cl
4 4 4
Direct
0.000 0.500 0.250 As
0.000 0.500 0.750 As
0.500 0.000 0.250 As
0.500 0.000 0.750 As
0.246 0.754 0.873 N
0.254 0.746 0.373 N
0.746 0.254 0.627 N
0.754 0.246 0.127 N
0.147 0.147 0.500 Cl
0.353 0.353 0.000 Cl
0.647 0.647 0.000 Cl
0.853 0.853 0.500 Cl
```

## Properties
Space-group type   Cmce, No. 64
Formation energy without anion corrections   2.005 eV/atom
E above lowest polymorph   1780 meV/atom

## Tl5Os (GGA-PBE)

Data for an optimized crystal structure of Tl5Os.

The structure in POSCAR format:
```
Tl5Os
1.0
1.578 -12.524 0.000
1.578 12.524 0.000
0.000 0.000 4.631
Tl Os
5 1
Direct
0.000 0.000 0.000 Tl
0.100 0.900 0.500 Tl
0.313 0.687 0.000 Tl
0.687 0.313 0.000 Tl
0.900 0.100 0.500 Tl
0.500 0.500 0.500 Os
```

## Properties
Space-group type   Cmmm, No. 65
ΔE_f   251.8 kJ/mol of formula units
E above lowest polymorph   0 meV/atom

## NiAsRu2 (GGA-PBE)

Data for an optimized crystal structure of NiAsRu2.

The structure in POSCAR format:
```
NiAsRu2
1.0
-1.497 2.105 4.263
1.497 -2.105 4.263
1.497 2.105 -4.263
Ni As Ru
1 1 2
Direct
0.000 0.000 0.000 Ni
0.212 0.712 0.500 As
0.447 0.447 0.000 Ru
0.722 0.222 0.500 Ru
```

## Properties
Space-group type   Imm2, No. 44
ΔE_f   32.1 kJ/mol of formula units

## Sm2Sc3Sn4 (GGA-PBE)

Data for an optimized crystal structure of Sm2Sc3Sn4.

The structure in POSCAR format:
```
Sm2Sc3Sn4
1.0
7.988 0.000 0.000
0.000 7.989 0.000
-2.697 0.000 7.284
Sm Sc Sn
4 6 8
Direct
0.192 0.176 0.060 Sm
0.192 0.324 0.560 Sm
0.808 0.676 0.440 Sm
0.808 0.824 0.940 Sm
0.250 0.664 0.244 Sc
0.250 0.836 0.744 Sc
0.500 0.000 0.500 Sc
0.500 0.500 0.000 Sc
0.750 0.164 0.256 Sc
0.750 0.336 0.756 Sc
0.085 0.544 0.846 Sn
0.085 0.956 0.346 Sn
0.495 0.136 0.861 Sn
0.495 0.364 0.361 Sn
0.505 0.636 0.639 Sn
0.505 0.864 0.139 Sn
0.915 0.044 0.654 Sn
0.915 0.456 0.154 Sn
```

## Properties
Space-group type   P2_1/c, No. 14
ΔE_f   -667.0 kJ/mol of formula units
E above lowest polymorph   0 meV/atom